Entry 1:
VASP calculation (GGA-PBEsol) on a relaxed structure of AlTlGa2Ag.

Results
ρ in g cm⁻³: 5.5
V in Å³/cell: 143.7
D(E_F) in states/eV per cell: 2.04
Total magnetic moment in Bohr magnetons per cell: 0.00
Formation energy in eV per atom: 0.913

Cell and atoms, written as POSCAR:
```
AlTlGa2Ag
1.0
5.1600 0.0000 0.0000
0.0000 5.2773 0.0000
0.0000 0.0000 5.2773
Tl Ga Ag Al
1 2 1 1
Direct
0.0000 0.0000 0.0000
0.0000 0.0000 0.5000
0.0000 0.5000 0.0000
0.5000 0.5000 0.5000
0.5000 0.0000 0.0000
```


Entry 2:
VASP calculation (GGA-PBEsol) on a relaxed structure of Gd3Al7Ag2.

Results
ρ in g cm⁻³: 6.3
V in Å³/cell: 229.8
D(E_F) in states/eV per cell: 4.62
Total magnetic moment in Bohr magnetons per cell: 7.42
Formation energy in eV per atom: -0.482

Cell and atoms, written as POSCAR:
```
Gd3Al7Ag2
1.0
-2.9309 4.4877 -1.2960
-5.5105 -0.1807 0.1044
-2.7362 3.9037 7.9732
Gd Al Ag
3 7 2
Direct
0.1426 0.1426 0.5722
0.8574 0.8574 0.4278
0.0000 0.0000 0.0000
0.0755 0.5865 0.7515
0.4135 0.9245 0.2485
0.5865 0.0755 0.7515
0.5865 0.5865 0.7515
0.9245 0.4135 0.2485
0.5000 0.5000 0.5000
0.4135 0.4135 0.2485
0.3357 0.3357 0.9929
0.6643 0.6643 0.0071
```


Entry 3:
VASP calculation (GGA-PBEsol) on a relaxed structure of Al2SiAgGe.

Results
ρ in g cm⁻³: 4.1
E_form (uncorrected) in eV per atom: 0.657
V in Å³/cell: 107.0
D(E_F) in states/eV per cell: 3.82
Total magnetic moment in Bohr magnetons per cell: 0.00

Cell and atoms, written as POSCAR:
```
Al2SiAgGe
1.0
-1.2530 2.5017 3.7529
-3.9813 1.3863 -2.2533
-2.3156 -3.7950 1.7566
Ge Si Ag Al
1 1 1 2
Direct
0.5000 0.5000 0.5000
0.0000 0.0000 0.0000
0.5000 0.0000 0.0000
0.0000 0.0000 0.5000
0.0000 0.5000 0.0000
```


Entry 4:
VASP calculation (GGA-PBEsol) on a relaxed structure of AlAgH2Pd.

Results
ρ in g cm⁻³: 6.2
V in Å³/cell: 65.6
D(E_F) in states/eV per cell: 1.29
Total magnetic moment in Bohr magnetons per cell: 0.00
Calculated total energy in eV/atom: -3.75

Cell and atoms, written as POSCAR:
```
AlAgH2Pd
1.0
3.5053 0.0000 0.0000
0.0000 3.5053 0.0000
0.0000 0.0000 5.3371
H Pd Ag Al
2 1 1 1
Direct
0.0000 0.5000 0.0000
0.5000 0.0000 0.0000
0.0000 0.0000 0.0000
0.0000 0.0000 0.5000
0.5000 0.5000 0.5000
```


Entry 5:
VASP calculation (GGA-PBEsol) on a relaxed structure of AlAgH2W.

Results
ρ in g cm⁻³: 7.6
V in Å³/cell: 69.7
D(E_F) in states/eV per cell: 3.80
Total magnetic moment in Bohr magnetons per cell: 2.82
Calculated total energy in eV/atom: -4.27

Cell and atoms, written as POSCAR:
```
AlAgH2W
1.0
3.6616 0.0000 0.0000
0.0000 3.6616 0.0000
0.0000 0.0000 5.2013
H Ag W Al
2 1 1 1
Direct
0.0000 0.5000 0.0000
0.5000 0.0000 0.0000
0.0000 0.0000 0.5000
0.5000 0.5000 0.5000
0.0000 0.0000 0.0000
```


Entry 6:
VASP calculation (GGA-PBEsol) on a relaxed structure of Hf2Al3Ag.

Results
ρ in g cm⁻³: 8.8
V in Å³/cell: 102.6
D(E_F) in states/eV per cell: 5.35
Total magnetic moment in Bohr magnetons per cell: 0.00
Formation energy in eV per atom: -0.386

Cell and atoms, written as POSCAR:
```
Hf2Al3Ag
1.0
-4.0198 -0.4719 3.2902
-1.3647 -4.7520 1.6622
0.9322 -1.3091 4.9623
Hf Al Ag
2 3 1
Direct
0.6237 0.6237 0.6237
0.3763 0.3763 0.3763
0.0000 0.5000 0.0000
0.5000 0.0000 0.0000
0.0000 0.0000 0.5000
0.0000 0.0000 0.0000
```


Entry 7:
VASP calculation (GGA-PBEsol) on a relaxed structure of HfAlAg2I.

Results
ρ in g cm⁻³: 6.6
E_form (uncorrected) in eV per atom: 1.246
V in Å³/cell: 136.9
D(E_F) in states/eV per cell: 3.31
Total magnetic moment in Bohr magnetons per cell: 0.00

Cell and atoms, written as POSCAR:
```
HfAlAg2I
1.0
5.0974 0.0000 0.0000
0.0000 5.0974 0.0000
0.0000 0.0000 5.2706
I Hf Al Ag
1 1 1 2
Direct
0.0000 0.0000 0.0000
0.0000 0.0000 0.5000
0.5000 0.5000 0.5000
0.0000 0.5000 0.0000
0.5000 0.0000 0.0000
```


Entry 8:
VASP calculation (GGA-PBEsol) on a relaxed structure of HfAlTc2Ag.

Results
ρ in g cm⁻³: 7.9
V in Å³/cell: 107.3
D(E_F) in states/eV per cell: 5.66
Total magnetic moment in Bohr magnetons per cell: 2.09
Formation energy in eV per atom: 1.866

Cell and atoms, written as POSCAR:
```
HfAlTc2Ag
1.0
4.7441 0.0000 0.0000
0.0000 4.7441 0.0000
0.0000 0.0000 4.7683
Hf Tc Ag Al
1 2 1 1
Direct
0.0000 0.0000 0.5000
0.0000 0.5000 0.0000
0.5000 0.0000 0.0000
0.0000 0.0000 0.0000
0.5000 0.5000 0.5000
```


Entry 9:
VASP calculation (GGA-PBEsol) on a relaxed structure of Al2AgHg.

Results
ρ in g cm⁻³: 8.5
V in Å³/cell: 71.0
D(E_F) in states/eV per cell: 1.30
Total magnetic moment in Bohr magnetons per cell: 0.00
Formation energy in eV per atom: 0.007

Cell and atoms, written as POSCAR:
```
Al2AgHg
1.0
-2.1230 -0.3960 2.2799
1.3591 -4.1320 -1.6149
3.7272 0.9122 3.6291
Hg Ag Al
1 1 2
Direct
0.0000 0.0000 0.5000
0.5000 0.0000 0.0000
0.7541 0.5081 0.7682
0.2459 0.4919 0.2318
```


Entry 10:
VASP calculation (GGA-PBEsol) on a relaxed structure of Al2AgHg.

Results
ρ in g cm⁻³: 8.2
V in Å³/cell: 73.5
D(E_F) in states/eV per cell: 1.61
Total magnetic moment in Bohr magnetons per cell: 0.00
Formation energy in eV per atom: 0.115

Cell and atoms, written as POSCAR:
```
Al2AgHg
1.0
-0.4271 -1.8879 2.3443
-0.5612 -0.7600 -2.8896
8.9550 -3.1549 -0.9094
Hg Ag Al
1 1 2
Direct
0.5000 0.5000 0.5000
0.5000 0.5000 0.0000
0.0000 0.0000 0.2394
0.0000 0.0000 0.7606
```


Entry 11:
VASP calculation (GGA-PBEsol) on a relaxed structure of AlAgHg2.

Results
ρ in g cm⁻³: 11.6
V in Å³/cell: 76.8
D(E_F) in states/eV per cell: 1.21
Total magnetic moment in Bohr magnetons per cell: 0.00
Formation energy in eV per atom: 0.028

Cell and atoms, written as POSCAR:
```
AlAgHg2
1.0
3.1366 0.0000 0.0000
1.5683 2.7164 0.0000
1.5683 0.9055 9.0150
Hg Ag Al
2 1 1
Direct
0.9941 0.9941 0.0176
0.7543 0.7543 0.7372
0.5062 0.5062 0.4814
0.2454 0.2454 0.2638
```


Entry 12:
VASP calculation (GGA-PBEsol) on a relaxed structure of AlAgHg4.

Results
ρ in g cm⁻³: 11.7
V in Å³/cell: 133.4
D(E_F) in states/eV per cell: 1.98
Total magnetic moment in Bohr magnetons per cell: 0.00
Formation energy in eV per atom: 0.325

Cell and atoms, written as POSCAR:
```
AlAgHg4
1.0
-4.9109 -2.2101 -1.9710
-4.0067 -1.8174 3.6782
-4.8979 2.9256 0.5806
Ag Al Hg
1 1 4
Direct
0.7500 0.7500 0.7500
0.0000 0.0000 0.0000
0.3753 0.3753 0.3753
0.3753 0.3753 0.8741
0.8741 0.3753 0.3753
0.3753 0.8741 0.3753
```


Entry 13:
VASP calculation (GGA-PBEsol) on a relaxed structure of AlAgHg2.

Results
ρ in g cm⁻³: 11.7
V in Å³/cell: 76.2
D(E_F) in states/eV per cell: 1.44
Total magnetic moment in Bohr magnetons per cell: 0.00
Formation energy in eV per atom: 0.087

Cell and atoms, written as POSCAR:
```
AlAgHg2
1.0
-0.5209 3.9876 -1.1844
-3.3792 0.2905 2.4641
4.4578 -0.8355 2.6455
Hg Ag Al
2 1 1
Direct
0.0000 0.0000 0.0000
0.7500 0.2500 0.5000
0.5000 0.5000 0.0000
0.2500 0.7500 0.5000
```


Entry 14:
VASP calculation (GGA-PBEsol) on a relaxed structure of AlAg2Hg.

Results
ρ in g cm⁻³: 10.5
V in Å³/cell: 70.0
D(E_F) in states/eV per cell: 0.84
Total magnetic moment in Bohr magnetons per cell: 0.00
E above lowest polymorph in kJ/mol of formula units: 23
Formation energy in eV per atom: 0.038

Cell and atoms, written as POSCAR:
```
AlAg2Hg
1.0
4.6257 0.0000 0.0000
2.3128 4.0059 0.0000
2.3128 1.3353 3.7768
Hg Ag Al
1 2 1
Direct
0.5000 0.5000 0.5000
0.7500 0.7500 0.7500
0.2500 0.2500 0.2500
0.0000 0.0000 0.0000
```


Entry 15:
VASP calculation (GGA-PBEsol) on a relaxed structure of AlAgHg3.

Results
ρ in g cm⁻³: 8.7
V in Å³/cell: 141.0
D(E_F) in states/eV per cell: 2.86
Total magnetic moment in Bohr magnetons per cell: 0.00
Formation energy in eV per atom: 0.490

Cell and atoms, written as POSCAR:
```
AlAgHg3
1.0
5.2053 0.0000 0.0000
0.0000 5.2053 0.0000
0.0000 0.0000 5.2053
Hg Ag Al
3 1 1
Direct
0.0000 0.5000 0.0000
0.0000 0.0000 0.5000
0.5000 0.0000 0.0000
0.0000 0.0000 0.0000
0.5000 0.5000 0.5000
```


Entry 16:
VASP calculation (GGA-PBEsol) on a relaxed structure of AlAg2Hg.

Results
ρ in g cm⁻³: 10.5
V in Å³/cell: 70.2
D(E_F) in states/eV per cell: 1.45
Total magnetic moment in Bohr magnetons per cell: 0.00
E above lowest polymorph in kJ/mol of formula units: 1
Formation energy in eV per atom: -0.021

Cell and atoms, written as POSCAR:
```
AlAg2Hg
1.0
2.9949 0.0000 0.0000
1.4975 2.5937 0.0000
1.4975 0.8646 9.0372
Hg Ag Al
1 2 1
Direct
0.0000 0.0000 0.0000
0.2439 0.2439 0.2684
0.7561 0.7561 0.7316
0.5000 0.5000 0.5000
```


Entry 17:
VASP calculation (GGA-PBEsol) on a relaxed structure of Al2AgHg.

Results
ρ in g cm⁻³: 8.1
V in Å³/cell: 73.9
D(E_F) in states/eV per cell: 1.54
Total magnetic moment in Bohr magnetons per cell: 0.00
Formation energy in eV per atom: 0.178

Cell and atoms, written as POSCAR:
```
Al2AgHg
1.0
-0.9032 -4.3287 1.6246
-1.8338 -3.2570 -2.8674
2.6307 -3.6431 -1.4141
Hg Ag Al
1 1 2
Direct
0.7500 0.7500 0.7500
0.5000 0.5000 0.5000
0.0000 0.0000 0.0000
0.2500 0.2500 0.2500
```


Entry 18:
VASP calculation (GGA-PBEsol) on a relaxed structure of AlAg2Hg.

Results
ρ in g cm⁻³: 10.6
V in Å³/cell: 69.6
D(E_F) in states/eV per cell: 1.46
Total magnetic moment in Bohr magnetons per cell: 0.00
E above lowest polymorph in kJ/mol of formula units: 0
Formation energy in eV per atom: -0.023

Cell and atoms, written as POSCAR:
```
AlAg2Hg
1.0
2.9213 0.0000 0.0000
0.0000 2.9213 0.0000
0.0000 0.0000 8.1559
Hg Ag Al
1 2 1
Direct
0.5000 0.5000 0.5000
0.0000 0.0000 0.7757
0.0000 0.0000 0.2243
0.5000 0.5000 0.0000
```


Entry 19:
VASP calculation (GGA-PBEsol) on a relaxed structure of AlAg2Hg.

Results
ρ in g cm⁻³: 10.6
V in Å³/cell: 69.7
D(E_F) in states/eV per cell: 1.05
Total magnetic moment in Bohr magnetons per cell: 0.00
E above lowest polymorph in kJ/mol of formula units: 10
Formation energy in eV per atom: 0.004

Cell and atoms, written as POSCAR:
```
AlAg2Hg
1.0
-2.2787 -1.7322 -1.0925
-0.8826 -1.6801 4.5049
-1.4166 5.1980 -0.9912
Hg Ag Al
1 2 1
Direct
0.0000 0.5000 0.0000
0.7665 0.7665 0.5329
0.2335 0.2335 0.4671
0.5000 0.0000 0.0000
```


Entry 20:
VASP calculation (GGA-PBEsol) on a relaxed structure of AlAg2Hg.

Results
ρ in g cm⁻³: 10.5
V in Å³/cell: 70.4
D(E_F) in states/eV per cell: 0.91
Total magnetic moment in Bohr magnetons per cell: 0.00
E above lowest polymorph in kJ/mol of formula units: 13
Formation energy in eV per atom: 0.011

Cell and atoms, written as POSCAR:
```
AlAg2Hg
1.0
2.9447 0.0000 0.0010
0.0000 4.3537 0.0000
-1.3945 0.0000 5.4927
Hg Ag Al
1 2 1
Direct
0.4394 0.5000 0.7610
0.0512 0.0000 0.9900
0.7061 0.5000 0.2787
0.3034 0.0000 0.4703
```


Entry 21:
VASP calculation (GGA-PBEsol) on a relaxed structure of Al2AgHg.

Results
ρ in g cm⁻³: 8.5
V in Å³/cell: 71.1
D(E_F) in states/eV per cell: 1.13
Total magnetic moment in Bohr magnetons per cell: 0.00
Formation energy in eV per atom: 0.013

Cell and atoms, written as POSCAR:
```
Al2AgHg
1.0
-0.1000 -2.7684 -1.3292
0.2126 -2.5380 1.7187
-8.6104 -1.8866 1.0256
Hg Ag Al
1 1 2
Direct
0.4987 0.4987 0.5040
0.2553 0.2553 0.2341
0.9992 0.9992 0.0024
0.7469 0.7469 0.7594
```


Entry 22:
VASP calculation (GGA-PBEsol) on a relaxed structure of Al2Ag2Hg.

Results
ρ in g cm⁻³: 8.7
V in Å³/cell: 179.9
D(E_F) in states/eV per cell: 2.98
Total magnetic moment in Bohr magnetons per cell: 0.00
Formation energy in eV per atom: 0.006

Cell and atoms, written as POSCAR:
```
Al2Ag2Hg
1.0
2.7602 0.0000 0.0000
0.0000 8.0727 0.0000
0.0000 0.0000 8.0727
Hg Ag Al
2 4 4
Direct
0.0000 0.0000 0.0000
0.0000 0.5000 0.5000
0.5000 0.1716 0.6716
0.5000 0.6716 0.8284
0.5000 0.8284 0.3284
0.5000 0.3284 0.1716
0.0000 0.3749 0.8749
0.0000 0.8749 0.6251
0.0000 0.6251 0.1251
0.0000 0.1251 0.3749
```


Entry 23:
VASP calculation (GGA-PBEsol) on a relaxed structure of HoAlAg2.

Results
ρ in g cm⁻³: 9.0
V in Å³/cell: 75.1
D(E_F) in states/eV per cell: 1.43
Total magnetic moment in Bohr magnetons per cell: 0.00
Formation energy in eV per atom: -0.366

Cell and atoms, written as POSCAR:
```
HoAlAg2
1.0
4.7365 0.0000 0.0000
2.3683 4.1020 0.0000
2.3683 1.3673 3.8674
Ho Ag Al
1 2 1
Direct
0.0000 0.0000 0.0000
0.7500 0.7500 0.7500
0.2500 0.2500 0.2500
0.5000 0.5000 0.5000
```


Entry 24:
VASP calculation (GGA-PBEsol) on a relaxed structure of Al2Ag2I.

Results
ρ in g cm⁻³: 6.4
E_form (uncorrected) in eV per atom: 0.209
V in Å³/cell: 205.7
D(E_F) in states/eV per cell: 2.78
Total magnetic moment in Bohr magnetons per cell: 0.00

Cell and atoms, written as POSCAR:
```
Al2Ag2I
1.0
-2.2043 0.9576 2.4160
4.6578 -3.0069 5.4416
3.6610 6.8221 0.6361
I Al Ag
2 4 4
Direct
0.0000 0.0000 0.0000
0.0000 0.5000 0.5000
0.5000 0.1571 0.6571
0.5000 0.6571 0.8429
0.5000 0.8429 0.3429
0.5000 0.3429 0.1571
0.0000 0.3701 0.8701
0.0000 0.8701 0.6299
0.0000 0.6299 0.1299
0.0000 0.1299 0.3701
```


Entry 25:
VASP calculation (GGA-PBEsol) on a relaxed structure of AlAgI2O.

Results
ρ in g cm⁻³: 6.1
E_form (uncorrected) in eV per atom: -0.746
V in Å³/cell: 111.0
D(E_F) in states/eV per cell: 1.11
Total magnetic moment in Bohr magnetons per cell: 0.00

Cell and atoms, written as POSCAR:
```
AlAgI2O
1.0
3.4689 0.0000 0.0000
0.0000 5.6570 0.0000
0.0000 0.0000 5.6570
I O Al Ag
2 1 1 1
Direct
0.0000 0.0000 0.5000
0.0000 0.5000 0.0000
0.5000 0.0000 0.0000
0.0000 0.0000 0.0000
0.5000 0.5000 0.5000
```


Entry 26:
VASP calculation (GGA-PBEsol) on a relaxed structure of Al2AgOsI.

Results
ρ in g cm⁻³: 7.1
E_form (uncorrected) in eV per atom: 1.276
V in Å³/cell: 111.5
D(E_F) in states/eV per cell: 5.50
Total magnetic moment in Bohr magnetons per cell: 1.37

Cell and atoms, written as POSCAR:
```
Al2AgOsI
1.0
4.6314 0.0000 0.0000
0.0000 4.6314 0.0000
0.0000 0.0000 5.1969
I Os Al Ag
1 1 2 1
Direct
0.5000 0.5000 0.5000
0.0000 0.0000 0.5000
0.0000 0.5000 0.0000
0.5000 0.0000 0.0000
0.0000 0.0000 0.0000
```


Entry 27:
VASP calculation (GGA-PBEsol) on a relaxed structure of AlAgSbI2.

Results
ρ in g cm⁻³: 5.1
E_form (uncorrected) in eV per atom: 0.473
V in Å³/cell: 167.1
D(E_F) in states/eV per cell: 4.30
Total magnetic moment in Bohr magnetons per cell: 0.81

Cell and atoms, written as POSCAR:
```
AlAgSbI2
1.0
-2.7215 -4.1432 1.7880
3.8047 -0.7357 4.0866
-2.9634 3.4014 3.3713
I Sb Al Ag
2 1 1 1
Direct
0.0000 0.0000 0.5000
0.0000 0.5000 0.0000
0.5000 0.0000 0.0000
0.5000 0.5000 0.5000
0.0000 0.0000 0.0000
```


Entry 28:
VASP calculation (GGA-PBEsol) on a relaxed structure of AlAgTeI2.

Results
ρ in g cm⁻³: 5.4
E_form (uncorrected) in eV per atom: 0.228
V in Å³/cell: 157.9
D(E_F) in states/eV per cell: 3.05
Total magnetic moment in Bohr magnetons per cell: 0.00

Cell and atoms, written as POSCAR:
```
AlAgTeI2
1.0
5.3882 0.0000 0.0000
0.0000 5.4139 0.0000
0.0000 0.0000 5.4139
I Te Al Ag
2 1 1 1
Direct
0.0000 0.0000 0.5000
0.0000 0.5000 0.0000
0.5000 0.0000 0.0000
0.0000 0.0000 0.0000
0.5000 0.5000 0.5000
```


Entry 29:
VASP calculation (GGA-PBEsol) on a relaxed structure of AlInAg.

Results
ρ in g cm⁻³: 7.2
V in Å³/cell: 57.3
D(E_F) in states/eV per cell: 0.94
Total magnetic moment in Bohr magnetons per cell: 0.00
Formation energy in eV per atom: 0.056

Cell and atoms, written as POSCAR:
```
AlInAg
1.0
-2.1175 -2.0742 -1.0380
3.0851 -2.8924 -0.5627
-0.5318 0.5814 4.6983
Al Ag In
1 1 1
Direct
0.6690 0.6930 0.3357
0.9992 0.9764 0.9983
0.3320 0.3307 0.6660
```